First-principles (GGA-PBE) data for a relaxed Ce2Ga3CuIr4 crystal, as listed in the Alexandria database.

```
data_Ce2Ga3CuIr4
_chemical_formula_sum 'Ce2 Ga3 Cu1 Ir4'
_space_group_name_H-M_alt 'P 1'
_space_group_IT_number 1
_cell_length_a 4.1535
_cell_length_b 4.1535
_cell_length_c 10.6324
_cell_angle_alpha 90.00
_cell_angle_beta 90.00
_cell_angle_gamma 90.00
loop_
_space_group_symop_operation_xyz
'x,y,z'
loop_
_atom_site_label
_atom_site_type_symbol
_atom_site_fract_x
_atom_site_fract_y
_atom_site_fract_z
Ce1 Ce 0.5000 0.0000 0.2488
Ce2 Ce 0.0000 0.5000 0.7512
Ga1 Ga 0.0000 0.0000 0.5000
Ga2 Ga 0.5000 0.0000 0.8713
Ga3 Ga 0.0000 0.5000 0.1287
Cu1 Cu 0.5000 0.5000 0.5000
Ir1 Ir 0.5000 0.5000 0.0000
Ir2 Ir 0.0000 0.0000 0.0000
Ir3 Ir 0.5000 0.0000 0.6402
Ir4 Ir 0.0000 0.5000 0.3598
```

**D(E_F)**: 11.77 states/eV/f.u.
**V**: 183 Å³ per cell
**DFT formation energy**: -0.589 eV per atom

First-principles (GGA-PBE) data for a relaxed Li2CaZn2Si2 crystal, as listed in the Alexandria database.

```
data_Li2CaZn2Si2
_chemical_formula_sum 'Li2 Ca1 Zn2 Si2'
_space_group_name_H-M_alt 'P 1'
_space_group_IT_number 1
_cell_length_a 4.2037
_cell_length_b 4.2037
_cell_length_c 8.5643
_cell_angle_alpha 75.79
_cell_angle_beta 75.79
_cell_angle_gamma 60.00
loop_
_space_group_symop_operation_xyz
'x,y,z'
loop_
_atom_site_label
_atom_site_type_symbol
_atom_site_fract_x
_atom_site_fract_y
_atom_site_fract_z
Li1 Li 0.1399 0.1399 0.5803
Li2 Li 0.8601 0.8601 0.4197
Ca1 Ca 0.0000 0.0000 0.0000
Zn1 Zn 0.5749 0.5749 0.2752
Zn2 Zn 0.4251 0.4251 0.7248
Si1 Si 0.7495 0.7495 0.7516
Si2 Si 0.2505 0.2505 0.2484
```

**D(E_F)**: 1.76 states/eV/f.u.
**V**: 126 Å³ per cell
**Formation energy from raw total energies**: -0.36 eV per atom

First-principles (GGA-PBE) data for a relaxed CeNi5Au crystal, as listed in the Alexandria database.

```
data_CeNi5Au
_chemical_formula_sum 'Ce4 Ni20 Au4'
_space_group_name_H-M_alt 'P 1'
_space_group_IT_number 1
_cell_length_a 4.8473
_cell_length_b 8.0038
_cell_length_c 10.2848
_cell_angle_alpha 90.00
_cell_angle_beta 90.00
_cell_angle_gamma 90.00
loop_
_space_group_symop_operation_xyz
'x,y,z'
loop_
_atom_site_label
_atom_site_type_symbol
_atom_site_fract_x
_atom_site_fract_y
_atom_site_fract_z
Ce1 Ce 0.2500 0.2482 0.9400
Ce2 Ce 0.7500 0.2518 0.4400
Ce3 Ce 0.2500 0.7482 0.5600
Ce4 Ce 0.7500 0.7518 0.0600
Ni1 Ni 0.2500 0.5921 0.0189
Ni2 Ni 0.7500 0.9079 0.5189
Ni3 Ni 0.2500 0.0921 0.4811
Ni4 Ni 0.7500 0.4079 0.9811
Ni5 Ni 0.7500 0.3129 0.7565
Ni6 Ni 0.2500 0.1871 0.2565
Ni7 Ni 0.7500 0.8129 0.7435
Ni8 Ni 0.2500 0.6871 0.2435
Ni9 Ni 0.2500 0.9487 0.1077
Ni10 Ni 0.7500 0.5513 0.6077
Ni11 Ni 0.2500 0.4487 0.3923
Ni12 Ni 0.7500 0.0513 0.8923
Ni13 Ni 0.9990 0.4324 0.1868
Ni14 Ni 0.0010 0.0676 0.6868
Ni15 Ni 0.5010 0.9324 0.3132
Ni16 Ni 0.4990 0.5676 0.8132
Ni17 Ni 0.0010 0.5676 0.8132
Ni18 Ni 0.9990 0.9324 0.3132
Ni19 Ni 0.4990 0.0676 0.6868
Ni20 Ni 0.5010 0.4324 0.1868
Au1 Au 0.2500 0.8623 0.8622
Au2 Au 0.7500 0.6377 0.3622
Au3 Au 0.2500 0.3623 0.6378
Au4 Au 0.7500 0.1377 0.1378
```

**D(E_F)**: 8.77 states/eV/f.u.
**V**: 399 Å³ per cell
**DFT formation energy**: -0.280 eV per atom